3
Lattice="0.0000 3.2035 3.2035 3.2035 0.0000 3.2035 3.2035 3.2035 0.0000" Properties=species:S:1:pos:R:3 comment="PBE-GGA LiNdGe, optimized geometry" total_energy_ev_per_atom=-4.2257 sg="No. 216" pbc="T T T"
Nd 0.0000 0.0000 0.0000
Ge 3.2035 3.2035 3.2035
Li 1.6018 1.6018 1.6018

***

6
Lattice="-1.0018 -3.4531 -2.6794 1.2962 -0.7449 4.2275 -7.1943 0.3304 2.2640" Properties=species:S:1:pos:R:3 comment="PBE-GGA LiNdGe, optimized geometry" total_energy_ev_per_atom=-4.4334 sg="No. 194" pbc="T T T"
Li -1.2684 -1.5650 2.4912
Li -5.6315 -2.3025 1.3209
Nd 0.0000 0.0000 0.0000
Nd -3.5971 0.1652 1.1320
Ge -4.8655 -1.3998 3.6232
Ge -2.0344 -2.4677 0.1889

***

Magnetic moment readings, ordered: 0.0 0.0 μB per cell